No. 1
# TaReNi

TaReNi after structural relaxation (PBE, Alexandria).

Results
**ΔH_f (0 K)**: 0.035 eV/atom
**DOS at the Fermi energy**: 1.050 states/eV per atom
**Energy above the lowest structure with this stoichiometry**: 0.20 eV per formula unit

```
data_TaReNi
_chemical_formula_sum 'Ta2 Re2 Ni2'
_cell_length_a 2.673
_cell_length_b 3.912
_cell_length_c 8.540
_cell_angle_alpha 90.00
_cell_angle_beta 90.00
_cell_angle_gamma 90.00
_symmetry_space_group_name_H-M 'I m m 2'
_symmetry_Int_Tables_number 44
loop_
_symmetry_equiv_pos_as_xyz
'x,y,z'
'-x,-y,z'
'-x,y,z'
'x,-y,z'
'x+1/2,y+1/2,z+1/2'
'-x+1/2,-y+1/2,z+1/2'
'-x+1/2,y+1/2,z+1/2'
'x+1/2,-y+1/2,z+1/2'
loop_
_atom_site_label
_atom_site_fract_x
_atom_site_fract_y
_atom_site_fract_z
Ta1 0.000 0.000 0.000
Re1 0.000 0.000 0.323
Ni1 0.000 0.000 0.673
```

No. 2
# PuMgAlO6

PuMgAlO6 after structural relaxation (PBE, Alexandria).

Results
**DOS at the Fermi energy**: 0.007 states/eV per atom
**ΔE_f (raw)**: -2.487 eV/atom

```
data_PuMgAlO6
_chemical_formula_sum 'Pu2 Mg2 Al2 O12'
_cell_length_a 5.1239
_cell_length_b 5.1239
_cell_length_c 9.1473
_cell_angle_alpha 90.00
_cell_angle_beta 90.00
_cell_angle_gamma 120.00
_symmetry_space_group_name_H-M 'P -3 1 c'
_symmetry_Int_Tables_number 163
_symmetry_space_group_name_Hall '-P 3 2c'
loop_
_atom_site_label
_atom_site_fract_x
_atom_site_fract_y
_atom_site_fract_z
Pu1 0.3333 0.6667 0.2500
Mg1 0.0000 0.0000 0.0000
Al1 0.3333 0.6667 0.7500
O1 0.0132 0.3546 0.6353
```

No. 3
# Ba2LiBi3

Ba2LiBi3 after structural relaxation (PBE, Alexandria).

Results
**ΔH_f (0 K)**: -0.674 eV/atom
**DOS at the Fermi energy**: 0.312 states/eV per atom

```
data_Ba2LiBi3
_chemical_formula_sum 'Ba2 Li1 Bi3'
_cell_length_a 4.997
_cell_length_b 5.124
_cell_length_c 8.908
_cell_angle_alpha 90.00
_cell_angle_beta 90.00
_cell_angle_gamma 90.00
_symmetry_space_group_name_H-M 'P m m 2'
_symmetry_Int_Tables_number 25
loop_
_symmetry_equiv_pos_as_xyz
'x,y,z'
'-x,-y,z'
'-x,y,z'
'x,-y,z'
loop_
_atom_site_label
_atom_site_fract_x
_atom_site_fract_y
_atom_site_fract_z
Ba1 0.000 0.000 0.000
Ba2 0.000 0.500 0.471
Li1 0.500 0.500 0.802
Bi1 0.500 0.000 0.327
Bi2 0.500 0.000 0.686
Bi3 0.500 0.500 0.118
```

No. 4
# CrP

CrP after structural relaxation (PBE, Alexandria).

Results
**ΔH_f (0 K)**: 0.060 eV/atom
**DOS at the Fermi energy**: 0.649 states/eV per atom

```
data_CrP
_chemical_formula_sum 'Cr4 P4'
_cell_length_a 5.297
_cell_length_b 5.297
_cell_length_c 5.297
_cell_angle_alpha 90.00
_cell_angle_beta 90.00
_cell_angle_gamma 90.00
_symmetry_space_group_name_H-M 'F -4 3 m'
_symmetry_Int_Tables_number 216
_symmetry_space_group_name_Hall 'F -4 2 3'
loop_
_atom_site_label
_atom_site_fract_x
_atom_site_fract_y
_atom_site_fract_z
Cr1 0.000 0.000 0.000
P1 0.250 0.250 0.250
```

No. 5
# WBr4

WBr4 after structural relaxation (PBE, Alexandria).

Results
**DOS at the Fermi energy**: 0.000 states/eV per atom
**ΔE_f (raw)**: -0.441 eV/atom

```
data_WBr4
_chemical_formula_sum 'W2 Br8'
_cell_length_a 6.878
_cell_length_b 7.560
_cell_length_c 7.793
_cell_angle_alpha 72.15
_cell_angle_beta 63.87
_cell_angle_gamma 63.00
_symmetry_space_group_name_H-M 'P -1'
_symmetry_Int_Tables_number 2
loop_
_symmetry_equiv_pos_as_xyz
'x,y,z'
'-x,-y,-z'
loop_
_atom_site_label
_atom_site_fract_x
_atom_site_fract_y
_atom_site_fract_z
W1 0.199 0.000 0.000
Br1 0.204 0.768 0.824
Br2 0.218 0.751 0.288
Br3 0.257 0.249 0.711
Br4 0.332 0.191 0.145
```

No. 6
# Y2Si2Ge

Y2Si2Ge after structural relaxation (PBE, Alexandria).

Results
**DOS at the Fermi energy**: 0.458 states/eV per atom
**ΔE_f (raw)**: -0.669 eV/atom
**Energy above the lowest structure with this stoichiometry**: 0.22 eV per formula unit

```
data_Y2Si2Ge
_chemical_formula_sum 'Y4 Si4 Ge2'
_cell_length_a 7.092
_cell_length_b 7.092
_cell_length_c 4.181
_cell_angle_alpha 90.00
_cell_angle_beta 90.00
_cell_angle_gamma 90.00
_symmetry_space_group_name_H-M 'P 4/m b m'
_symmetry_Int_Tables_number 127
_symmetry_space_group_name_Hall '-P 4 2ab'
loop_
_atom_site_label
_atom_site_fract_x
_atom_site_fract_y
_atom_site_fract_z
Y1 0.180 0.320 0.000
Si1 0.119 0.619 0.500
Ge1 0.000 0.000 0.500
```

Let's list total magnetic moment in order: 0.000 0.111 0.000 1.165 0.000 0.000 μB/atom.